No. 1
A relaxed structure of AcTmSi2. Source: the Alexandria database, functional PBE-GGA.

abc: 4.6499 4.6499 6.3461
angles: 68.51 68.51 60.00
Atoms (fractional coordinates):
Si 0.2276 0.2276 0.3173
Si 0.7724 0.7724 0.6827
Ac 0.0000 0.0000 0.0000
Tm 0.5000 0.5000 0.5000

E above lowest polymorph = 0.167 eV/atom
Formation energy (no corrections) = -41 kJ/mol of atoms
Uncorrected energy = -5.2822 eV/atom

=====

No. 2
A relaxed structure of YMgAl2W. Source: the Alexandria database, functional PBE-GGA.

abc: 5.0564 5.1396 5.0564
angles: 90.00 90.00 90.00
Atoms (fractional coordinates):
Al 0.0000 0.0000 0.5000
Al 0.5000 0.0000 0.0000
Mg 0.0000 0.5000 0.0000
W 0.5000 0.5000 0.5000
Y 0.0000 0.0000 0.0000

Formation energy = 2236 meV per atom
Uncorrected energy = -3.4634 eV/atom

=====

No. 3
A relaxed structure of Rb2SrBr. Source: the Alexandria database, functional PBE-GGA.

abc: 4.5556 4.5556 13.2789
angles: 80.12 80.12 60.00
Atoms (fractional coordinates):
Br 0.5000 0.5000 0.5000
Rb 0.1101 0.1101 0.6698
Rb 0.8899 0.8899 0.3302
Sr 0.0000 0.0000 0.0000

E above lowest polymorph = 0.000 eV/atom
Formation energy (no corrections) = -69 kJ/mol of atoms
Uncorrected energy = -2.0333 eV/atom

=====

No. 4
A relaxed structure of Sm2DyTm. Source: the Alexandria database, functional PBE-GGA.

abc: 3.5739 3.5739 11.7763
angles: 81.27 81.27 60.00
Atoms (fractional coordinates):
Tm 0.0000 0.0000 0.0000
Sm 0.7494 0.7494 0.7517
Sm 0.2506 0.2506 0.2483
Dy 0.5000 0.5000 0.5000

E above lowest polymorph = 0.000 eV/atom
Formation energy = 17 meV per atom
Uncorrected energy = -4.6113 eV/atom

=====

No. 5
A relaxed structure of Li2Ac3Pb7. Source: the Alexandria database, functional PBE-GGA.

abc: 4.8637 4.8637 16.1473
angles: 98.66 98.66 90.00
Atoms (fractional coordinates):
Ac 0.6670 0.6670 0.3340
Ac 0.3330 0.3330 0.6660
Ac 0.5000 0.5000 0.0000
Pb 0.4160 0.9160 0.8320
Pb 0.2276 0.2276 0.4551
Pb 0.7724 0.7724 0.5449
Pb 0.0840 0.5840 0.1680
Pb 0.5840 0.0840 0.1680
Pb 0.0000 0.0000 0.0000
Pb 0.9160 0.4160 0.8320
Li 0.1372 0.1372 0.2745
Li 0.8628 0.8628 0.7255

Formation energy = -351 meV per atom
Uncorrected energy = -3.8601 eV/atom

=====

No. 6
A relaxed structure of La2Cu. Source: the Alexandria database, functional PBE-GGA.

abc: 7.2392 7.2392 7.2392
angles: 90.00 90.00 90.00
Atoms (fractional coordinates):
La 0.8458 0.1542 0.6542
La 0.6542 0.8458 0.1542
La 0.1542 0.8458 0.3458
La 0.3458 0.1542 0.8458
La 0.6542 0.6542 0.6542
La 0.8458 0.3458 0.1542
La 0.3458 0.3458 0.3458
La 0.1542 0.6542 0.8458
Cu 0.5000 0.0000 0.5000
Cu 0.5000 0.5000 0.0000
Cu 0.0000 0.0000 0.0000
Cu 0.0000 0.5000 0.5000

Formation energy = 38 meV per atom
Uncorrected energy = -4.6126 eV/atom

=====

No. 7
A relaxed structure of LiBi3Pd12. Source: the Alexandria database, functional PBE-GGA.

abc: 4.1061 4.1061 16.0877
angles: 90.00 90.00 90.00
Atoms (fractional coordinates):
Pd 0.5000 0.0000 0.1137
Pd 0.0000 0.5000 0.6285
Pd 0.5000 0.0000 0.6285
Pd 0.5000 0.0000 0.3715
Pd 0.0000 0.5000 0.3715
Pd 0.0000 0.5000 0.8863
Pd 0.5000 0.5000 0.2472
Pd 0.0000 0.5000 0.1137
Pd 0.5000 0.5000 0.7528
Pd 0.5000 0.5000 0.0000
Pd 0.5000 0.5000 0.5000
Pd 0.5000 0.0000 0.8863
Bi 0.0000 0.0000 0.2339
Bi 0.0000 0.0000 0.5000
Bi 0.0000 0.0000 0.7661
Li 0.0000 0.0000 0.0000

Formation energy = -257 meV per atom
Uncorrected energy = -4.9993 eV/atom

=====

No. 8
A relaxed structure of NiAs4Ir. Source: the Alexandria database, functional PBE-GGA.

abc: 5.9224 5.8901 5.9376
angles: 90.00 89.84 90.00
Atoms (fractional coordinates):
As 0.6172 0.6142 0.6274
As 0.8764 0.6235 0.1176
As 0.1172 0.8858 0.6274
As 0.3764 0.8765 0.1176
As 0.6236 0.1235 0.8824
As 0.8828 0.1142 0.3726
As 0.3828 0.3858 0.3726
As 0.1236 0.3765 0.8824
Ni 0.0000 0.0000 0.0000
Ni 0.5000 0.5000 0.0000
Ir 0.0000 0.5000 0.5000
Ir 0.5000 0.0000 0.5000

E above lowest polymorph = 0.000 eV/atom
Formation energy = -275 meV per atom
Uncorrected energy = -5.8154 eV/atom

=====

No. 9
A relaxed structure of Na4Ga5Sn2. Source: the Alexandria database, functional PBE-GGA.

abc: 3.1905 7.6632 10.3507
angles: 92.46 90.00 90.00
Atoms (fractional coordinates):
Ga 0.0000 0.2218 0.1696
Ga 0.0000 0.5668 0.2635
Ga 0.0000 0.7782 0.8304
Ga 0.0000 0.5000 0.0000
Ga 0.0000 0.4332 0.7365
Sn 0.0000 0.0584 0.6461
Sn 0.0000 0.9416 0.3539
Na 0.5000 0.3081 0.4426
Na 0.5000 0.6919 0.5574
Na 0.5000 0.8398 0.0908
Na 0.5000 0.1602 0.9092

Formation energy = -48 meV per atom
Uncorrected energy = -2.6310 eV/atom

=====

No. 10
A relaxed structure of TbDy2HoSc2. Source: the Alexandria database, functional PBE-GGA.

abc: 5.4476 9.3983 6.8200
angles: 90.00 90.00 90.00
Atoms (fractional coordinates):
Ho 0.5000 0.5000 0.5000
Ho 0.0000 0.0000 0.0000
Tb 0.5000 0.5000 0.0000
Tb 0.0000 0.0000 0.5000
Sc 0.0000 0.3332 0.7500
Sc 0.5000 0.8332 0.7500
Sc 0.0000 0.6668 0.2500
Sc 0.5000 0.1668 0.2500
Dy 0.0000 0.3334 0.2507
Dy 0.0000 0.6666 0.7493
Dy 0.5000 0.1666 0.7507
Dy 0.5000 0.8334 0.2493

Formation energy = 74 meV per atom
Uncorrected energy = -5.1052 eV/atom

=====

No. 11
A relaxed structure of YGe2Os2. Source: the Alexandria database, functional PBE-GGA.

abc: 7.5122 7.5122 2.9668
angles: 90.00 90.00 90.00
Atoms (fractional coordinates):
Os 0.8515 0.3515 0.5000
Os 0.3515 0.1485 0.5000
Os 0.1485 0.6485 0.5000
Os 0.6485 0.8515 0.5000
Ge 0.1426 0.3574 0.0000
Ge 0.8574 0.6426 0.0000
Ge 0.3574 0.8574 0.0000
Ge 0.6426 0.1426 0.0000
Y 0.5000 0.5000 0.0000
Y 0.0000 0.0000 0.0000

Formation energy = -32 meV per atom
Uncorrected energy = -7.6634 eV/atom

=====

No. 12
A relaxed structure of YScCoPd. Source: the Alexandria database, functional PBE-GGA.

abc: 4.7194 4.7194 4.7194
angles: 60.00 60.00 60.00
Site moments in Bohr magnetons follow the coordinates.
Atoms (fractional coordinates):
Y 0.2500 0.2500 0.2500  -0.01
Pd 0.5000 0.5000 0.5000  0.00
Co 0.0000 0.0000 0.0000  0.13
Sc 0.7500 0.7500 0.7500  -0.02

Formation energy = -502 meV per atom
Uncorrected energy = -6.7758 eV/atom